Entry from Alexandria: a geometry-optimized Y2AlNi structure (PBEsol).

Output
density of states at the Fermi level = 4.462 states/eV per cell
ΔH_f (0 K) = -0.3553 eV per atom
E = -6.33 eV/atom
total moment = 0.0 Bohr magnetons per cell

Unit cell a=3.7011 b=4.3147 c=5.7604 alpha=90.00 beta=108.66 gamma=90.00
Last column: nearest neighbours and their distance in Å.
Atoms (fractional coordinates):
Y 0.0000 0.0000 0.0000  2 Ni 2.88-2.89, 4 Al 2.96
Y 0.2879 0.5000 0.5762  3 Al 2.95-3.15, 4 Ni 2.99
Al 0.5770 0.5000 0.1538  2 Ni 2.56
Ni 0.7016 0.0000 0.4056  2 Al 2.56